w:
## SrP2SeS (PBE-GGA)

Data for a relaxed SrP2SeS crystal.

Cell: 5.655 5.655 5.379 Å, 90.00 90.00 90.00°
Element x y z (fractional)
Sr  0.000  0.000  0.000
P  0.000  0.500  0.000
P  0.500  0.000  0.000
Se  0.500  0.500  0.500
S  0.000  0.000  0.500

Fermi-level density of states: 7.35 states/eV per cell

---

x:
## SrP2SeS (PBE-GGA)

Data for a relaxed SrP2SeS crystal.

Cell: 4.857 4.857 5.026 Å, 90.00 90.00 90.00°
Element x y z (fractional)
Sr  0.000  0.000  0.000
P  0.000  0.500  0.500
P  0.500  0.000  0.500
Se  0.500  0.500  0.500
S  0.500  0.500  0.000

Fermi-level density of states: 2.26 states/eV per cell

---

Most stable of them? x.